No. 1
First-principles (GGA-PBE) data for a geometry-optimized Ce6Ge2C structure, as listed in Alexandria via LeMat-Bulk.

Cell and atoms, written as POSCAR:
```
Ce6Ge2C
1.0
3.817 0.000 0.000
0.000 6.774 4.057
0.000 -6.774 4.057
Ce Ge C
6 2 1
Cartesian
0.000 0.000 0.000
0.000 -1.348 4.890
0.000 1.348 4.890
1.908 -4.154 3.443
1.908 0.000 2.129
1.908 4.154 3.443
0.000 -2.452 1.821
0.000 2.452 1.821
1.908 0.000 6.329
```

=====

No. 2
First-principles (GGA-PBE) data for a geometry-optimized Ce4GeC structure, as listed in Alexandria via LeMat-Bulk.

Cell and atoms, written as POSCAR:
```
Ce4GeC
1.0
3.854 -5.848 0.000
3.854 5.848 0.000
-1.833 0.000 6.133
Ce Ge C
8 2 2
Cartesian
1.431 3.985 5.852
0.987 0.927 3.568
3.528 3.985 3.348
1.903 -0.927 0.501
3.973 0.927 5.632
2.348 -3.985 2.785
4.889 -0.927 2.565
4.445 -3.985 0.281
3.396 1.442 1.533
2.480 -1.442 4.600
3.396 5.776 1.533
2.480 -5.776 4.600
```

=====

No. 3
First-principles (GGA-PBE) data for a geometry-optimized Ce3Ge2C structure, as listed in Alexandria via LeMat-Bulk.

Cell and atoms, written as POSCAR:
```
Ce3Ge2C
1.0
4.845 -3.903 0.000
4.845 3.903 0.000
-1.328 0.000 7.184
Ce Ge C
6 4 2
Cartesian
3.849 3.007 5.388
3.418 0.562 0.204
2.754 -0.562 3.796
5.609 0.562 3.388
4.945 -0.562 6.980
4.513 -3.007 1.796
2.760 2.292 2.580
6.266 2.292 1.011
2.096 -2.292 6.172
5.602 -2.292 4.603
3.849 0.705 5.388
4.513 -0.705 1.796
```

=====

no.,DOS at the Fermi energy (states/eV per cell),ΔH_f (0 K) (eV/atom)
1,21.95,-0.354
2,27.07,-0.240
3,16.79,-0.448